# 1
ScInMo2Pd | Alexandria via LeMat-Bulk | PBE | optimized geometry; formation energy = 5.2 eV/f.u.; calculated total energy = -6.143 eV per atom; ρ = 6.75 g/cm3; spin magnetization = 0.00 μB/cell; N(E_F) = 1.138 states/eV/atom
1.0
4.8088 0.0000 0.0000
0.0000 4.8724 0.0000
0.0000 0.0000 4.8088
Sc Mo Pd In
1 2 1 1
direct
0.0000 0.5000 0.0000 Sc
0.0000 0.0000 0.5000 Mo
0.5000 0.0000 0.0000 Mo
0.0000 0.0000 0.0000 Pd
0.5000 0.5000 0.5000 In


# 2
In2SnMoPd | Alexandria via LeMat-Bulk | PBE | optimized geometry; formation energy = 3.7 eV/f.u.; calculated total energy = -4.362 eV per atom; ρ = 6.83 g/cm3; spin magnetization = 4.01 μB/cell; N(E_F) = 0.570 states/eV/atom
1.0
5.0996 0.0000 0.0000
0.0000 5.1483 0.0000
0.0000 0.0000 5.0996
Mo Sn Pd In
1 1 1 2
direct
0.5000 0.5000 0.5000 Mo
0.0000 0.5000 0.0000 Sn
0.0000 0.0000 0.0000 Pd
0.0000 0.0000 0.5000 In
0.5000 0.0000 0.0000 In